CeZn5Ag7: optimized geometry, PBE.

abc: 5.2554 7.1491 7.1491
angles: 82.11 68.44 68.44
Closest atoms and distances in Å follow each position.
Fractional positions:
Ag: 0.9995 0.6520 0.3490  5 Zn 2.82-3.00, 4 Ag 2.85-3.00
Ag: 0.5038 0.7855 0.2070  5 Zn 2.70-2.83, 3 Ag 2.89-2.93
Zn: 0.5024 0.9960 0.4998  3 Zn 2.62-2.69, 7 Ag 2.70-2.88
Ag: 0.6470 0.3530 0.3530  5 Ag 2.88-3.03, 4 Zn 2.88
Zn: 0.7190 0.7810 0.7810  4 Zn 2.69, 6 Ag 2.83-3.00
Zn: 0.5024 0.4998 0.9960  3 Zn 2.62-2.69, 7 Ag 2.70-2.88
Ag: 0.3416 0.6584 0.6584  6 Zn 2.80-2.87, 3 Ag 2.88-3.12
Ag: 0.9995 0.3490 0.6520  5 Zn 2.82-3.00, 4 Ag 2.85-3.00
Zn: 0.0018 0.4998 0.9960  3 Zn 2.62-2.69, 7 Ag 2.70-2.88
Ag: 0.5038 0.2070 0.7855  5 Zn 2.70-2.83, 3 Ag 2.89-2.93
Zn: 0.0018 0.9960 0.4998  3 Zn 2.62-2.69, 7 Ag 2.70-2.88
Ce: 0.9974 0.0026 0.0026  10 Ag 3.24-3.33, 10 Zn 3.35-3.59
Ag: 0.2800 0.2200 0.2200  4 Zn 2.72, 6 Ag 2.89-3.00

## Properties
As for the density of states at the Fermi level: 11.21 states/eV/cell. As for the energy relative to the elements: -0.116 eV per atom. As for the space-group type: No. 44.


Sr2ScInPd6: optimized geometry, PBE.

abc: 7.0474 7.0474 7.0474
angles: 60.00 60.00 90.00
Closest atoms and distances in Å follow each position.
Fractional positions:
Pd: 0.7576 0.7576 0.0000  1 Sc 2.42, 1 In 2.57
Pd: 0.7576 0.2424 0.0000  1 Sc 2.42, 1 In 2.57
Pd: 0.2424 0.7576 0.0000  1 Sc 2.42, 1 In 2.57
Pd: 0.7576 0.7576 0.4848  1 Sc 2.42, 1 In 2.57
Pd: 0.2424 0.2424 0.5152  1 Sc 2.42, 1 In 2.57
Sr: 0.2500 0.7500 0.5000  12 Pd 3.52
Sc: 0.0000 0.0000 0.0000  6 Pd 2.42
Pd: 0.2424 0.2424 0.0000  1 Sc 2.42, 1 In 2.57
In: 0.5000 0.5000 0.0000  6 Pd 2.57
Sr: 0.7500 0.2500 0.5000  12 Pd 3.52

## Properties
As for the density of states at the Fermi level: 3.37 states/eV/cell. As for the energy relative to the elements: -0.230 eV per atom. As for the space-group type: No. 225.


Cl2O2F7: optimized geometry, PBE.

abc: 5.9397 5.7924 5.9397
angles: 84.71 89.66 84.71
Closest atoms and distances in Å follow each position.
Fractional positions:
O: 0.0723 0.0000 0.9277  1 O 1.21
Cl: 0.7039 0.5799 0.7039  3 F 1.73-1.78
O: 0.9277 0.0000 0.0723  1 O 1.21
F: 0.3265 0.7189 0.3265  1 Cl 1.78
F: 0.1170 0.2453 0.4482  1 Cl 1.73
F: 0.4482 0.2453 0.1170  1 Cl 1.73
Cl: 0.2961 0.4201 0.2961  3 F 1.73-1.78
F: 0.6735 0.2811 0.6735  1 Cl 1.78
F: 0.8830 0.7547 0.5518  1 Cl 1.73
F: 0.0000 0.5000 0.0000  2 Cl 2.48
F: 0.5518 0.7547 0.8830  1 Cl 1.73

## Properties
As for the density of states at the Fermi level: 8.33 states/eV/cell. As for the space-group type: No. 12. The formation energy from raw total energies comes out at -306 meV per atom.


VCdCu3Se4: optimized geometry, PBE.

abc: 5.8639 5.8639 5.8639
angles: 90.00 90.00 90.00
Closest atoms and distances in Å follow each position.
Fractional positions:
Cu: 0.0000 0.5000 0.0000  4 Se 2.50
Se: 0.7635 0.7635 0.2365  1 V 2.40, 3 Cu 2.50, 1 Cd 2.68
Se: 0.7635 0.2365 0.7635  1 V 2.40, 3 Cu 2.50, 1 Cd 2.68
Cu: 0.5000 0.0000 0.0000  4 Se 2.50
V: 0.0000 0.0000 0.0000  4 Se 2.40
Cu: 0.0000 0.0000 0.5000  4 Se 2.50
Se: 0.2365 0.2365 0.2365  1 V 2.40, 3 Cu 2.50, 1 Cd 2.68
Cd: 0.5000 0.5000 0.5000  4 Se 2.68
Se: 0.2365 0.7635 0.7635  1 V 2.40, 3 Cu 2.50, 1 Cd 2.68

## Properties
As for the density of states at the Fermi level: 5.29 states/eV/cell. As for the space-group type: No. 215. The formation energy from raw total energies comes out at -284 meV per atom.


FeAs2Br: optimized geometry, PBE.

abc: 3.6697 3.6654 6.7786
angles: 90.00 90.00 90.00
Closest atoms and distances in Å follow each position.
Fractional positions:
As: 0.5000 0.5000 0.0000  4 As 2.59
Br: 0.5000 0.0000 0.5000  4 Fe 2.59
As: 0.0000 0.0000 0.0000  4 As 2.59
Fe: 0.0000 0.5000 0.5000  4 Br 2.59

## Properties
As for the density of states at the Fermi level: 5.11 states/eV/cell. As for the space-group type: No. 123. The value obtained for the polymorph energy (0 for the lowest one) is 0.569 eV/atom. The formation energy from raw total energies comes out at 539 meV per atom.


Mg5CdRh6: optimized geometry, PBE.

abc: 4.4320 6.3083 7.0064
angles: 90.00 108.32 90.00
Closest atoms and distances in Å follow each position.
Fractional positions:
Rh: 0.1683 0.2539 0.3378  7 Mg 2.68-2.73, 1 Cd 2.76
Rh: 0.5000 0.2585 0.0000  6 Mg 2.69-2.75, 2 Cd 2.75
Mg: 0.3340 0.5000 0.6670  8 Rh 2.68-2.71
Cd: 0.0000 0.0000 0.0000  8 Rh 2.75-2.76
Mg: 0.6660 0.0000 0.3328  8 Rh 2.71-2.75
Mg: 0.6660 0.5000 0.3330  8 Rh 2.68-2.71
Rh: 0.1683 0.7461 0.3378  7 Mg 2.68-2.74, 1 Cd 2.76
Mg: 0.3340 0.0000 0.6672  8 Rh 2.71-2.75
Rh: 0.8317 0.2539 0.6622  7 Mg 2.68-2.74, 1 Cd 2.76
Mg: 0.0000 0.5000 0.0000  8 Rh 2.69-2.73
Rh: 0.5000 0.7415 0.0000  6 Mg 2.69-2.75, 2 Cd 2.75
Rh: 0.8317 0.7461 0.6622  7 Mg 2.68-2.73, 1 Cd 2.76

## Properties
As for the density of states at the Fermi level: 10.89 states/eV/cell. As for the energy relative to the elements: -0.399 eV per atom. As for the space-group type: No. 10.


CaGdYTl: optimized geometry, PBE.

abc: 5.5400 5.5400 5.5400
angles: 60.00 60.00 60.00
Closest atoms and distances in Å follow each position.
Fractional positions:
Ca: 0.5000 0.5000 0.5000  4 Gd 3.39, 4 Y 3.39
Y: 0.7500 0.7500 0.7500  4 Tl 3.39, 4 Ca 3.39
Gd: 0.2500 0.2500 0.2500  4 Tl 3.39, 4 Ca 3.39
Tl: 0.0000 0.0000 0.0000  4 Y 3.39, 4 Gd 3.39

## Properties
As for the density of states at the Fermi level: 5.79 states/eV/cell. As for the energy relative to the elements: -0.071 eV per atom. As for the space-group type: No. 216.


ZrZnCd3: optimized geometry, PBE.

abc: 4.8779 4.8779 4.8779
angles: 90.00 90.00 90.00
Closest atoms and distances in Å follow each position.
Fractional positions:
Zr: 0.5000 0.5000 0.5000  12 Cd 3.45
Zn: 0.0000 0.0000 0.0000  6 Cd 2.44
Cd: 0.0000 0.5000 0.0000  2 Zn 2.44
Cd: 0.0000 0.0000 0.5000  2 Zn 2.44
Cd: 0.5000 0.0000 0.0000  2 Zn 2.44

## Properties
As for the density of states at the Fermi level: 3.83 states/eV/cell. As for the energy relative to the elements: 0.478 eV per atom. As for the space-group type: No. 221. The value obtained for the polymorph energy (0 for the lowest one) is 0.561 eV/atom.


Ca2HgI4: optimized geometry, PBE.

abc: 4.5247 4.5247 18.4314
angles: 82.95 82.95 60.00
Closest atoms and distances in Å follow each position.
Fractional positions:
I: 0.7317 0.7317 0.8050  3 Ca 3.16
Hg: 0.0000 0.0000 0.0000  6 I 4.41, 6 Hg 4.52
Ca: 0.4308 0.4308 0.7077  6 I 3.16
I: 0.1298 0.1298 0.6105  3 Ca 3.16
I: 0.8702 0.8702 0.3895  3 Ca 3.16
I: 0.2683 0.2683 0.1950  3 Ca 3.16
Ca: 0.5692 0.5692 0.2923  6 I 3.16

## Properties
As for the density of states at the Fermi level: 0.00 states/eV/cell. As for the space-group type: No. 166. The formation energy from raw total energies comes out at -1375 meV per atom.


La2Si2As: optimized geometry, PBE.

abc: 7.4108 7.4108 4.4117
angles: 90.00 90.00 90.00
Closest atoms and distances in Å follow each position.
Fractional positions:
La: 0.6799 0.8201 0.5000  6 Si 3.09-3.14
La: 0.1799 0.6799 0.5000  6 Si 3.09-3.14
Si: 0.3861 0.8861 0.0000  1 Si 2.39
Si: 0.1139 0.3861 0.0000  1 Si 2.39
As: 0.5000 0.5000 0.0000  4 Si 2.98
Si: 0.6139 0.1139 0.0000  1 Si 2.39
La: 0.3201 0.1799 0.5000  6 Si 3.09-3.14
As: 0.0000 0.0000 0.0000  4 Si 2.98
Si: 0.8861 0.6139 0.0000  1 Si 2.39
La: 0.8201 0.3201 0.5000  6 Si 3.09-3.14

## Properties
As for the density of states at the Fermi level: 4.94 states/eV/cell. As for the space-group type: No. 127. The formation energy from raw total energies comes out at -711 meV per atom.


CaSi2Rh3: optimized geometry, PBE.

abc: 3.9951 8.2176 9.7087
angles: 108.17 90.00 104.07
Closest atoms and distances in Å follow each position.
Fractional positions:
Rh: 0.0391 0.0782 0.3310  4 Si 2.39-2.57
Si: 0.6389 0.2778 0.4428  7 Rh 2.32-2.57
Si: 0.8065 0.6129 0.8754  6 Rh 2.43-2.52
Rh: 0.9609 0.9218 0.6690  4 Si 2.39-2.57
Rh: 0.6201 0.2402 0.1953  4 Si 2.32-2.55
Ca: 0.0000 0.0000 0.0000  6 Si 2.93-3.10, 6 Rh 2.99-3.07
Rh: 0.7822 0.5644 0.6089  4 Si 2.33-2.50
Si: 0.5345 0.0690 0.7800  5 Rh 2.39-2.59
Rh: 0.3214 0.6427 0.0402  4 Si 2.40-2.52
Si: 0.1935 0.3871 0.1246  6 Rh 2.43-2.52
Ca: 0.1586 0.3173 0.6964  10 Rh 3.08-3.45, 6 Si 3.10-3.15
Rh: 0.2178 0.4356 0.3911  4 Si 2.33-2.50
Si: 0.3611 0.7222 0.5572  7 Rh 2.32-2.57
Rh: 0.6786 0.3573 0.9598  4 Si 2.40-2.52
Rh: 0.3799 0.7598 0.8047  4 Si 2.32-2.55
Rh: 0.5000 0.0000 0.5000  4 Si 2.45-2.59
Ca: 0.8414 0.6827 0.3036  10 Rh 3.08-3.45, 6 Si 3.10-3.15
Si: 0.4655 0.9310 0.2200  5 Rh 2.39-2.59

## Properties
As for the density of states at the Fermi level: 9.70 states/eV/cell. As for the space-group type: No. 12. The formation energy from raw total energies comes out at -822 meV per atom.


Cs2KHgI6: optimized geometry, PBE.

abc: 8.9711 8.9711 8.9739
angles: 60.01 60.01 90.00
Closest atoms and distances in Å follow each position.
Fractional positions:
I: 0.2357 0.7643 0.0000  1 Hg 2.99
I: 0.7643 0.7643 0.4714  1 Hg 2.99
I: 0.7643 0.2357 0.0000  1 Hg 2.99
Cs: 0.2500 0.7500 0.5000  12 I 4.49
Hg: 0.0000 0.0000 0.0000  6 I 2.99
K: 0.5000 0.5000 0.0000  6 I 3.35-3.36
I: 0.2357 0.2357 0.0000  1 Hg 2.99
I: 0.2357 0.2357 0.5286  1 Hg 2.99
Cs: 0.7500 0.2500 0.5000  12 I 4.49
I: 0.7643 0.7643 0.0000  1 Hg 2.99

## Properties
As for the density of states at the Fermi level: 13.17 states/eV/cell. As for the space-group type: No. 225. The formation energy from raw total energies comes out at -879 meV per atom.


no.,M_tot (μB per cell),V (Å³ per atom)
1,0.96,17.870
2,0.00,24.750
3,2.62,18.419
4,2.00,22.404
5,3.41,22.795
6,0.00,15.497
7,7.66,30.058
8,0.00,23.213
9,0.00,46.213
10,0.00,24.229
11,0.00,16.265
12,1.00,51.085